[1]
The following is a PBE calculation of Na2SO5 after structural relaxation, from Alexandria.

Computed properties:
- Theoretical density: 1.885 g cm⁻³
- Formation energy from raw total energies: -0.730 eV per atom
- Magnetization: 0.0 μB/f.u.
- Energy above the lowest structure with this stoichiometry: 0.166 eV/atom

abc: 6.360 12.523 6.993
angles: 90.00 90.00 90.00
Space group Cmcm (No. 63)
Inequivalent atoms, fractional coordinates:
Na1 0.000 0.000 0.000 [4 per cell]
Na2 0.000 0.275 0.250 [4 per cell]
S1 0.000 0.212 0.750 [4 per cell]
O1 0.000 0.092 0.750 [4 per cell]
O2 0.218 0.198 0.541 [16 per cell]



[2]
The following is a PBE calculation of Nd2AgS after structural relaxation, from Alexandria.

Computed properties:
- Theoretical density: 6.871 g cm⁻³
- Formation energy from raw total energies: -1.120 eV per atom
- Magnetization: 0.0 μB/f.u.
- Energy above the lowest structure with this stoichiometry: 0.000 eV/atom

abc: 4.085 24.136 4.200
angles: 90.00 90.00 90.00
Space group Cmcm (No. 63)
Inequivalent atoms, fractional coordinates:
Nd1 0.000 0.076 0.250 [4 per cell]
Nd2 0.000 0.309 0.250 [4 per cell]
Ag1 0.000 0.459 0.250 [4 per cell]
S1 0.000 0.193 0.250 [4 per cell]



[3]
The following is a PBE calculation of PrHo2Au2 after structural relaxation, from Alexandria.

Computed properties:
- Theoretical density: 11.049 g cm⁻³
- Magnetization: 0.0 μB/f.u.
- Energy above the lowest structure with this stoichiometry: 0.000 eV/atom
- Energy relative to the elements: -0.677 eV/atom

abc: 8.282 8.282 3.789
angles: 90.00 90.00 90.00
Space group P4/mbm (No. 127)
Inequivalent atoms, fractional coordinates:
Pr1 0.000 0.000 0.000 [2 per cell]
Ho1 0.161 0.339 0.500 [4 per cell]
Au1 0.130 0.630 0.000 [4 per cell]



[4]
The following is a PBE calculation of PrEuGdTl after structural relaxation, from Alexandria.

Computed properties:
- Theoretical density: 8.652 g cm⁻³
- Magnetization: 0.3 μB/f.u.
- Energy relative to the elements: -0.079 eV/atom

abc: 7.950 7.950 7.950
angles: 90.00 90.00 90.00
Space group F-43m (No. 216)
Inequivalent atoms, fractional coordinates:
Pr1 0.000 0.000 0.000 [4 per cell]
Eu1 0.250 0.250 0.250 [4 per cell]
Gd1 0.000 0.000 0.500 [4 per cell]
Tl1 0.250 0.250 0.750 [4 per cell]



[5]
The following is a PBE calculation of PmHoO2 after structural relaxation, from Alexandria.

Computed properties:
- Theoretical density: 9.316 g cm⁻³
- Formation energy from raw total energies: -2.717 eV per atom
- Magnetization: 0.0 μB/f.u.
- Energy above the lowest structure with this stoichiometry: 0.140 eV/atom

abc: 3.4311 3.4311 17.9347
angles: 90.00 90.00 120.00
Space group R3m (No. 160, hexagonal axes)
Inequivalent atoms, fractional coordinates:
Pm1 0.0000 0.0000 0.0000 [3 per cell]
Ho1 0.0000 0.0000 0.1774 [3 per cell]
O1 0.0000 0.0000 0.5754 [3 per cell]
O2 0.0000 0.0000 0.7681 [3 per cell]



[6]
The following is a PBE calculation of KPuThO6 after structural relaxation, from Alexandria.

Computed properties:
- Theoretical density: 6.519 g cm⁻³
- Formation energy from raw total energies: -2.739 eV per atom
- Magnetization: 1.0 μB/f.u.

abc: 7.500 8.082 10.273
angles: 90.00 90.00 90.00
Space group Imma (No. 74)
Inequivalent atoms, fractional coordinates:
K1 0.000 0.250 0.143 [4 per cell]
Pu1 0.000 0.000 0.500 [4 per cell]
Th1 0.250 0.250 0.750 [4 per cell]
O1 0.000 0.250 0.588 [4 per cell]
O2 0.000 0.250 0.863 [4 per cell]
O3 0.183 0.028 0.371 [16 per cell]



What is the formula in the first record?
Na2SO5



Which formula does entry 6 have?
KPuThO6